The following is a DFT calculation (PBE+U) of crystalline Mn2Zn3Si4O14 at its relaxed geometry.

Values from the calculation:
The calculation puts the calculated total energy at -6.89 eV per atom. The size of the total moment comes out at 16.00 μB per cell.

a b c (Å): 9.173 9.173 10.012
angles (deg): 60.58 60.58 50.57
Site moments in Bohr magnetons follow the coordinates.
Positions (direct):
Mn 0.793 0.207 0.750  3.94
Zn 0.281 0.045 0.608  0.00
O 0.240 0.964 0.328  0.02
O 0.943 0.493 0.367  0.00
O 0.382 0.318 0.720  0.00
Zn 0.597 0.403 0.250  0.01
O 0.651 0.453 0.589  -0.01
O 0.114 0.037 0.089  -0.07
Zn 0.955 0.719 0.892  0.00
Si 0.484 0.756 0.897  0.00
O 0.057 0.507 0.633  0.00
Si 0.516 0.244 0.103  0.00
O 0.037 0.114 0.589  -0.07
O 0.547 0.349 0.911  -0.01
Zn 0.045 0.281 0.108  0.00
Mn 0.000 0.000 0.500  3.87
O 0.318 0.382 0.220  0.00
O 0.963 0.886 0.411  -0.07
O 0.178 0.688 0.673  0.03
O 0.618 0.682 0.280  0.00
O 0.493 0.943 0.867  0.00
O 0.312 0.822 0.827  0.03
O 0.688 0.178 0.173  0.03
O 0.886 0.963 0.911  -0.07
Si 0.906 0.460 0.799  0.00
Si 0.540 0.094 0.701  0.00
Zn 0.719 0.955 0.392  0.00
Si 0.756 0.484 0.397  0.00
O 0.093 0.498 0.061  0.00
O 0.453 0.651 0.089  -0.01
O 0.907 0.502 0.939  0.00
Si 0.460 0.906 0.299  0.00
O 0.964 0.240 0.828  0.02
Mn 0.207 0.793 0.250  3.94
O 0.349 0.547 0.411  -0.01
Zn 0.403 0.597 0.750  0.01
O 0.760 0.036 0.672  0.02
Si 0.094 0.540 0.201  0.00
O 0.498 0.093 0.561  0.00
O 0.036 0.760 0.172  0.02
Si 0.244 0.516 0.603  0.00
O 0.502 0.907 0.439  0.00
O 0.822 0.312 0.327  0.03
Mn 0.000 0.000 0.000  3.87
O 0.507 0.057 0.133  0.00
O 0.682 0.618 0.780  0.00